Entry 1:
Ho2NiAg after structural relaxation. Source: Alexandria via LeMat-Bulk, functional PBE-GGA.

Output
ρ: 9.6 g/cm³
Formation energy from the elements: -0.36 eV per atom
Final energy: -19.2 eV for the cell shown

Unit cell a=3.4485 b=3.4485 c=7.1907 alpha=90.00 beta=90.00 gamma=90.00
Last column: nearest neighbours and their distance in Å.
Positions (direct):
Ni: 0.5000 0.5000 0.0000  8 Ho 2.93
Ho: 0.0000 0.0000 0.7734  4 Ni 2.93, 4 Ag 3.13, 1 Ho 3.26
Ho: 0.0000 0.0000 0.2266  4 Ni 2.93, 4 Ag 3.13, 1 Ho 3.26
Ag: 0.5000 0.5000 0.5000  8 Ho 3.13, 4 Ag 3.45



Entry 2:
HoNiAgPb after structural relaxation. Source: Alexandria via LeMat-Bulk, functional PBE-GGA.

Output
ρ: 11.1 g/cm³
Formation energy from the elements: -0.20 eV per atom
Final energy: -17.7 eV for the cell shown

Unit cell a=4.8495 b=4.8495 c=4.8495 alpha=60.00 beta=60.00 gamma=60.00
Last column: nearest neighbours and their distance in Å.
Positions (direct):
Pb: 0.5000 0.5000 0.5000  4 Ni 2.97, 4 Ag 2.97
Ni: 0.2500 0.2500 0.2500  4 Pb 2.97, 4 Ho 2.97
Ho: 0.0000 0.0000 0.0000  4 Ni 2.97, 4 Ag 2.97
Ag: 0.7500 0.7500 0.7500  4 Pb 2.97, 4 Ho 2.97



Entry 3:
HoNiAgRh after structural relaxation. Source: Alexandria via LeMat-Bulk, functional PBE-GGA.

Output
ρ: 10.5 g/cm³
Formation energy from the elements: -0.28 eV per atom
Final energy: -21.7 eV for the cell shown

Unit cell a=4.5911 b=4.5911 c=4.5911 alpha=60.00 beta=60.00 gamma=60.00
Last column: nearest neighbours and their distance in Å.
Positions (direct):
Ni: 0.2500 0.2500 0.2500  4 Ag 2.81, 4 Ho 2.81
Rh: 0.7500 0.7500 0.7500  4 Ho 2.81, 4 Ag 2.81
Ho: 0.0000 0.0000 0.0000  4 Ni 2.81, 4 Rh 2.81
Ag: 0.5000 0.5000 0.5000  4 Rh 2.81, 4 Ni 2.81



Entry 4:
HoScNiAg after structural relaxation. Source: Alexandria via LeMat-Bulk, functional PBE-GGA.

Output
ρ: 7.9 g/cm³
Formation energy from the elements: -0.31 eV per atom
Final energy: -20.8 eV for the cell shown

Unit cell a=4.8236 b=4.8236 c=4.8236 alpha=60.00 beta=60.00 gamma=60.00
Last column: nearest neighbours and their distance in Å.
Positions (direct):
Sc: 0.2500 0.2500 0.2500  4 Ni 2.95, 4 Ag 2.95
Ni: 0.5000 0.5000 0.5000  4 Ho 2.95, 4 Sc 2.95
Ho: 0.7500 0.7500 0.7500  4 Ni 2.95, 4 Ag 2.95
Ag: 0.0000 0.0000 0.0000  4 Ho 2.95, 4 Sc 2.95



Entry 5:
HoTmNiAg after structural relaxation. Source: Alexandria via LeMat-Bulk, functional PBE-GGA.

Output
ρ: 9.8 g/cm³
Formation energy from the elements: -0.34 eV per atom
Final energy: -19.0 eV for the cell shown

Unit cell a=4.9248 b=4.9248 c=4.9248 alpha=60.00 beta=60.00 gamma=60.00
Last column: nearest neighbours and their distance in Å.
Positions (direct):
Ni: 0.7500 0.7500 0.7500  4 Ho 3.02, 4 Tm 3.02
Tm: 0.5000 0.5000 0.5000  4 Ag 3.02, 4 Ni 3.02
Ho: 0.0000 0.0000 0.0000  4 Ni 3.02, 4 Ag 3.02
Ag: 0.2500 0.2500 0.2500  4 Ho 3.02, 4 Tm 3.02



Entry 6:
YHoNiAg after structural relaxation. Source: Alexandria via LeMat-Bulk, functional PBE-GGA.

Output
ρ: 8.0 g/cm³
Formation energy from the elements: -0.32 eV per atom
Final energy: -20.9 eV for the cell shown

Unit cell a=4.9690 b=4.9690 c=4.9690 alpha=60.00 beta=60.00 gamma=60.00
Last column: nearest neighbours and their distance in Å.
Positions (direct):
Y: 0.0000 0.0000 0.0000  4 Ag 3.04, 4 Ni 3.04
Ni: 0.2500 0.2500 0.2500  4 Y 3.04, 4 Ho 3.04
Ho: 0.5000 0.5000 0.5000  4 Ni 3.04, 4 Ag 3.04
Ag: 0.7500 0.7500 0.7500  4 Ho 3.04, 4 Y 3.04



Entry 7:
HoZnNiAg after structural relaxation. Source: Alexandria via LeMat-Bulk, functional PBE-GGA.

Output
ρ: 9.3 g/cm³
Formation energy from the elements: -0.20 eV per atom
Final energy: -15.3 eV for the cell shown

Unit cell a=4.6516 b=4.6516 c=4.6516 alpha=60.00 beta=60.00 gamma=60.00
Last column: nearest neighbours and their distance in Å.
Positions (direct):
Ni: 0.2500 0.2500 0.2500  4 Ho 2.85, 4 Zn 2.85
Zn: 0.0000 0.0000 0.0000  4 Ni 2.85, 4 Ag 2.85
Ho: 0.5000 0.5000 0.5000  4 Ag 2.85, 4 Ni 2.85
Ag: 0.7500 0.7500 0.7500  4 Ho 2.85, 4 Zn 2.85



Entry 8:
HoZrNiAg after structural relaxation. Source: Alexandria via LeMat-Bulk, functional PBE-GGA.

Output
ρ: 8.8 g/cm³
Formation energy from the elements: -0.16 eV per atom
Final energy: -22.4 eV for the cell shown

Unit cell a=4.8356 b=4.8356 c=4.8356 alpha=60.00 beta=60.00 gamma=60.00
Last column: nearest neighbours and their distance in Å.
Positions (direct):
Zr: 0.0000 0.0000 0.0000  4 Ni 2.96, 4 Ag 2.96
Ho: 0.5000 0.5000 0.5000  4 Ni 2.96, 4 Ag 2.96
Ag: 0.2500 0.2500 0.2500  4 Zr 2.96, 4 Ho 2.96
Ni: 0.7500 0.7500 0.7500  4 Ho 2.96, 4 Zr 2.96



Entry 9:
HoNpAg2O6 after structural relaxation. Source: Alexandria via LeMat-Bulk, functional PBE-GGA.

Output
ρ: 8.4 g/cm³
Final energy: -147.0 eV for the cell shown

Unit cell a=5.7657 b=5.9047 c=8.3183 alpha=90.00 beta=90.21 gamma=90.00
Last column: nearest neighbours and their distance in Å.
Positions (direct):
Ho: 0.5000 0.0000 0.0000  6 O 2.26
Ho: 0.0000 0.5000 0.5000  6 O 2.26
Np: 0.5000 0.0000 0.5000  6 O 2.04-2.06
Np: 0.0000 0.5000 0.0000  6 O 2.04-2.06
Ag: 0.0031 0.9760 0.2473  3 O 2.39-2.41
Ag: 0.5031 0.5240 0.7473  3 O 2.39-2.41
Ag: 0.9969 0.0240 0.7527  3 O 2.39-2.41
Ag: 0.4969 0.4760 0.2527  3 O 2.39-2.41
O: 0.2888 0.6863 0.0505  1 Np 2.04, 1 Ho 2.26
O: 0.7888 0.8137 0.5505  1 Np 2.04, 1 Ho 2.26
O: 0.7112 0.3137 0.9495  1 Np 2.04, 1 Ho 2.26
O: 0.2112 0.1863 0.4495  1 Np 2.04, 1 Ho 2.26
O: 0.3198 0.7113 0.4510  1 Np 2.04, 1 Ho 2.26
O: 0.8198 0.7887 0.9510  1 Np 2.04, 1 Ho 2.26
O: 0.6802 0.2887 0.5490  1 Np 2.04, 1 Ho 2.26
O: 0.1802 0.2113 0.0490  1 Np 2.04, 1 Ho 2.26
O: 0.9059 0.5328 0.2372  1 Np 2.06, 1 Ho 2.26
O: 0.4059 0.9672 0.7372  1 Np 2.06, 1 Ho 2.26
O: 0.0941 0.4672 0.7628  1 Np 2.06, 1 Ho 2.26
O: 0.5941 0.0328 0.2628  1 Np 2.06, 1 Ho 2.26



Entry 10:
Ho3NpAg3S8 after structural relaxation. Source: Alexandria via LeMat-Bulk, functional PBE-GGA.

Output
ρ: 6.4 g/cm³
Final energy: -87.3 eV for the cell shown

Unit cell a=8.0220 b=8.0175 c=7.6956 alpha=121.63 beta=90.00 gamma=120.02
Last column: nearest neighbours and their distance in Å.
Positions (direct):
Ho: 0.5000 0.0000 0.5000  6 S 2.74
Ho: 0.5000 0.5000 0.5000  6 S 2.73-2.74
Ho: 0.0000 0.5000 0.5000  6 S 2.73-2.74
Np: 0.0000 0.0000 0.5000  6 S 2.71
Ag: 0.0000 0.0000 0.0000  6 S 2.79-2.83
Ag: 0.0000 0.5000 0.0000  6 S 2.80-2.83
Ag: 0.5000 0.5000 0.0000  6 S 2.80-2.83
S: 0.2526 0.5052 0.2594  3 Ho 2.74, 3 Ag 2.79-2.81
S: 0.7474 0.4948 0.7406  3 Ho 2.74, 3 Ag 2.79-2.81
S: 0.7558 0.5117 0.2648  1 Np 2.71, 2 Ho 2.74, 2 Ag 2.83
S: 0.2442 0.4883 0.7352  1 Np 2.71, 2 Ho 2.74, 2 Ag 2.83
S: 0.7556 0.0072 0.2646  1 Np 2.71, 2 Ho 2.73-2.74, 2 Ag 2.80-2.83
S: 0.2444 0.9928 0.7354  1 Np 2.71, 2 Ho 2.73-2.74, 2 Ag 2.80-2.83
S: 0.2516 0.0072 0.2646  1 Np 2.71, 2 Ho 2.73-2.74, 2 Ag 2.80-2.83
S: 0.7484 0.9928 0.7354  1 Np 2.71, 2 Ho 2.73-2.74, 2 Ag 2.80-2.83



Entry 11:
Ho2NpAg2S6 after structural relaxation. Source: Alexandria via LeMat-Bulk, functional PBE-GGA.

Output
ρ: 6.0 g/cm³
Final energy: -66.7 eV for the cell shown

Unit cell a=6.9734 b=6.9734 c=6.5222 alpha=94.52 beta=94.52 gamma=120.51
Last column: nearest neighbours and their distance in Å.
Positions (direct):
Ho: 0.3348 0.6652 0.5000  6 S 2.73-2.75
Ho: 0.6652 0.3348 0.5000  6 S 2.73-2.75
Np: 0.0000 0.0000 0.5000  6 S 2.68-2.72
Ag: 0.8763 0.1237 0.0000  2 S 2.50
Ag: 0.1237 0.8763 0.0000  2 S 2.50
S: 0.7074 0.7074 0.7248  1 Np 2.68, 2 Ho 2.75, 2 Ag 2.90
S: 0.0309 0.3646 0.7218  1 Ag 2.50, 1 Np 2.72, 2 Ho 2.73
S: 0.2926 0.2926 0.2752  1 Np 2.68, 2 Ho 2.75, 2 Ag 2.90
S: 0.3646 0.0309 0.7218  1 Ag 2.50, 1 Np 2.72, 2 Ho 2.73
S: 0.9691 0.6354 0.2782  1 Ag 2.50, 1 Np 2.72, 2 Ho 2.73
S: 0.6354 0.9691 0.2782  1 Ag 2.50, 1 Np 2.72, 2 Ho 2.73



Entry 12:
Ho2NpAg3Te6 after structural relaxation. Source: Alexandria via LeMat-Bulk, functional PBE-GGA.

Output
ρ: 7.1 g/cm³
Final energy: -57.8 eV for the cell shown

Unit cell a=4.4508 b=10.5185 c=8.8886 alpha=105.10 beta=104.50 gamma=90.00
Last column: nearest neighbours and their distance in Å.
Positions (direct):
Ho: 0.8382 0.6654 0.6764  6 Te 3.01-3.12
Ho: 0.1618 0.3346 0.3236  6 Te 3.01-3.12
Np: 0.5000 0.0000 0.0000  6 Te 3.16-3.25
Ag: 0.5000 0.5000 0.0000  2 Te 2.64
Ag: 0.8272 0.0323 0.6544  4 Te 2.80-2.89
Ag: 0.1728 0.9677 0.3456  4 Te 2.80-2.89
Te: 0.3080 0.8538 0.6160  3 Ag 2.87-2.89, 2 Ho 3.12
Te: 0.6577 0.5316 0.3155  1 Ag 2.64
Te: 0.6920 0.1462 0.3840  3 Ag 2.87-2.89, 2 Ho 3.12
Te: 0.9830 0.2038 0.9660  1 Ag 2.80, 1 Ho 3.01
Te: 0.0170 0.7962 0.0340  1 Ag 2.80, 1 Ho 3.01
Te: 0.3423 0.4684 0.6845  1 Ag 2.64



> Number 8 is which compound?

HoZrNiAg



> Number 5 is which compound?

HoTmNiAg



Repeat the fifth record exactly.
HoTmNiAg after structural relaxation. Source: Alexandria via LeMat-Bulk, functional PBE-GGA.

Output
ρ: 9.8 g/cm³
Formation energy from the elements: -0.34 eV per atom
Final energy: -19.0 eV for the cell shown

Unit cell a=4.9248 b=4.9248 c=4.9248 alpha=60.00 beta=60.00 gamma=60.00
Last column: nearest neighbours and their distance in Å.
Positions (direct):
Ni: 0.7500 0.7500 0.7500  4 Ho 3.02, 4 Tm 3.02
Tm: 0.5000 0.5000 0.5000  4 Ag 3.02, 4 Ni 3.02
Ho: 0.0000 0.0000 0.0000  4 Ni 3.02, 4 Ag 3.02
Ag: 0.2500 0.2500 0.2500  4 Ho 3.02, 4 Tm 3.02